The following is a DFT calculation (GGA-PBE) of a geometry-optimized K2PaF8 structure.

Cell: 15.623 4.134 5.973 Å, 90.00 111.84 90.00°
Space group C2/m (No. 12)
Unique sites:
K  0.171  0.000  0.192 x4
Pa  0.000  0.500  0.500 x2
F  0.020  0.000  0.327 x4
F  0.080  0.500  0.870 x4
F  0.131  0.500  0.468 x4
F  0.221  0.000  0.821 x4

Results
E_form (uncorrected)   -3.093 eV/atom
E   -5.517 eV/atom
Energy above the lowest structure with this stoichiometry   15 meV/atom

---

The following is a DFT calculation (GGA-PBE) of a geometry-optimized K2PaF6 structure.

Cell: 5.779 5.779 11.881 Å, 90.00 90.00 90.00°
Space group P4_2/mnm (No. 136)
Unique sites:
K  0.000  0.000  0.164 x4
Pa  0.000  0.000  0.500 x2
F  0.180  0.180  0.361 x8
F  0.229  0.229  0.000 x4

Results
E_form (uncorrected)   -3.447 eV/atom
E   -5.994 eV/atom

---

The following is a DFT calculation (GGA-PBE) of a geometry-optimized KRb2PaF8 structure.

Cell: 6.229 6.229 12.029 Å, 90.00 90.00 90.00°
Space group I-4m2 (No. 119)
Unique sites:
K  0.000  0.000  0.000 x2
Rb  0.000  0.000  0.500 x2
Rb  0.000  0.500  0.750 x2
Pa  0.000  0.500  0.250 x2
F  0.205  0.291  0.143 x16

Results
E_form (uncorrected)   -3.414 eV/atom
E   -5.706 eV/atom

---

The following is a DFT calculation (GGA-PBE) of a geometry-optimized K2PaS3F3 structure.

Cell: 8.1832 8.1832 3.5969 Å, 90.00 90.00 120.00°
Space group P-62m (No. 189)
Unique sites:
K  0.3333  0.6667  0.0000 x2
Pa  0.0000  0.0000  0.5000 x1
S  0.0000  0.3396  0.5000 x3
F  0.0000  0.8197  0.0000 x3

Results
E_form (uncorrected)   -1.895 eV/atom
E   -5.194 eV/atom